Record 1
## Zr3B2S (GGA-PBE)

Data for a relaxed structure of Zr3B2S.

Results
electronic total energy = -8.15 eV/atom

Cell lengths 3.4981, 3.4981, 18.0241 Å; angles 90.00, 90.00, 120.00 degrees
With the nearest neighbours (Å) after each atom.
Fractional coordinates of all 12 atoms:
Zr  0.6667  0.3333  0.1511  3 B 2.39
B  0.3333  0.6667  0.0799  6 Zr 2.39-2.48
S  0.0000  0.0000  0.2500  6 Zr 2.69
B  0.6667  0.3333  0.5799  6 Zr 2.39-2.48
Zr  0.6667  0.3333  0.3489  3 B 2.39
Zr  0.0000  0.0000  0.5000  6 B 2.48
B  0.6667  0.3333  0.9201  6 Zr 2.39-2.48
Zr  0.0000  0.0000  0.0000  6 B 2.48
Zr  0.3333  0.6667  0.8489  3 B 2.39
S  0.0000  0.0000  0.7500  6 Zr 2.69
Zr  0.3333  0.6667  0.6511  3 B 2.39
B  0.3333  0.6667  0.4201  6 Zr 2.39-2.48

=====

Record 2
## SmB4Sb (GGA-PBE)

Data for a relaxed structure of SmB4Sb.

Results
energy relative to the lowest polymorph listed for this composition = 0 meV per atom
electronic total energy = -5.89 eV/atom

Cell lengths 5.4048, 5.4048, 5.4048 Å; angles 145.34, 121.77, 69.57 degrees
With the nearest neighbours (Å) after each atom.
Fractional coordinates of all 6 atoms:
B  0.0855  0.7642  0.3213  3 B 1.79-1.88
B  0.5571  0.2358  0.3213  3 B 1.79-1.88
Sm  0.5000  0.5000  0.0000  12 B 2.80-2.89, 4 Sb 3.08
Sb  0.0000  0.0000  0.0000  12 B 2.69-3.00
B  0.4429  0.7642  0.6787  3 B 1.79-1.88
B  0.9145  0.2358  0.6787  3 B 1.79-1.88